[1]
# TbEuYMg | the Alexandria database | GGA-PBE | relaxed
# **DOS(E_F)**: 3.3 states/eV/cell
# **Magnetic moment**: 7.07 Bohr magnetons per cell
# **ΔE_f**: 0.07 eV per atom
data_TbEuYMg
_cell_length_a 5.602
_cell_length_b 5.602
_cell_length_c 5.602
_cell_angle_alpha 60.00
_cell_angle_beta 60.00
_cell_angle_gamma 60.00
_symmetry_space_group_name_H-M 'P 1'
_symmetry_Int_Tables_number 1
loop_
_symmetry_equiv_pos_as_xyz
'x,y,z'
loop_
_atom_site_label
_atom_site_type_symbol
_atom_site_fract_x
_atom_site_fract_y
_atom_site_fract_z
Eu1 Eu 0.000 0.000 0.000
Y1 Y 0.250 0.250 0.250
Mg1 Mg 0.500 0.500 0.500
Tb1 Tb 0.750 0.750 0.750

[2]
# Cr2AsPb | the Alexandria database | GGA-PBE | relaxed
# **Energy above the most stable polymorph in this dataset**: 303 meV per atom
# **DOS(E_F)**: 3.6 states/eV/cell
# **Magnetic moment**: 7.84 Bohr magnetons per cell
# **ΔE_f**: 0.52 eV per atom
data_Cr2AsPb
_cell_length_a 4.971
_cell_length_b 4.971
_cell_length_c 4.971
_cell_angle_alpha 125.58
_cell_angle_beta 125.58
_cell_angle_gamma 80.58
_symmetry_space_group_name_H-M 'P 1'
_symmetry_Int_Tables_number 1
loop_
_symmetry_equiv_pos_as_xyz
'x,y,z'
loop_
_atom_site_label
_atom_site_type_symbol
_atom_site_fract_x
_atom_site_fract_y
_atom_site_fract_z
As1 As 0.750 0.250 0.500
Cr1 Cr 0.000 0.000 0.000
Cr2 Cr 0.500 0.500 0.000
Pb1 Pb 0.250 0.750 0.500

[3]
# SbMoSe2 | the Alexandria database | GGA-PBE | relaxed
# **DOS(E_F)**: 2.6 states/eV/cell
# **Magnetic moment**: 0.00 Bohr magnetons per cell
# **Formation energy (no corrections)**: -0.03 eV/atom
data_SbMoSe2
_cell_length_a 3.310
_cell_length_b 5.495
_cell_length_c 5.499
_cell_angle_alpha 59.93
_cell_angle_beta 90.00
_cell_angle_gamma 90.00
_symmetry_space_group_name_H-M 'P 1'
_symmetry_Int_Tables_number 1
loop_
_symmetry_equiv_pos_as_xyz
'x,y,z'
loop_
_atom_site_label
_atom_site_type_symbol
_atom_site_fract_x
_atom_site_fract_y
_atom_site_fract_z
Mo1 Mo 0.500 0.250 0.250
Sb1 Sb 0.500 0.750 0.750
Se1 Se 0.000 0.047 0.048
Se2 Se 0.000 0.453 0.452

[4]
# GdGaBi | the Alexandria database | GGA-PBE | relaxed
# **Energy above the most stable polymorph in this dataset**: 9 meV per atom
# **DOS(E_F)**: 3.3 states/eV/cell
# **Magnetic moment**: 7.80 Bohr magnetons per cell
# **ΔE_f**: -0.37 eV per atom
data_GdGaBi
_cell_length_a 3.851
_cell_length_b 3.851
_cell_length_c 5.960
_cell_angle_alpha 108.85
_cell_angle_beta 108.85
_cell_angle_gamma 90.00
_symmetry_space_group_name_H-M 'P 1'
_symmetry_Int_Tables_number 1
loop_
_symmetry_equiv_pos_as_xyz
'x,y,z'
loop_
_atom_site_label
_atom_site_type_symbol
_atom_site_fract_x
_atom_site_fract_y
_atom_site_fract_z
Gd1 Gd 0.278 0.278 0.556
Bi1 Bi 0.968 0.968 0.935
Ga1 Ga 0.604 0.604 0.208

[5]
# AlFe2Hg | the Alexandria database | GGA-PBE | relaxed
# **DOS(E_F)**: 3.2 states/eV/cell
# **Magnetic moment**: 4.51 Bohr magnetons per cell
# **ΔE_f**: 0.14 eV per atom
data_AlFe2Hg
_cell_length_a 3.820
_cell_length_b 2.759
_cell_length_c 6.135
_cell_angle_alpha 66.08
_cell_angle_beta 90.00
_cell_angle_gamma 90.00
_symmetry_space_group_name_H-M 'P 1'
_symmetry_Int_Tables_number 1
loop_
_symmetry_equiv_pos_as_xyz
'x,y,z'
loop_
_atom_site_label
_atom_site_type_symbol
_atom_site_fract_x
_atom_site_fract_y
_atom_site_fract_z
Al1 Al 0.500 0.750 0.750
Hg1 Hg 0.500 0.250 0.250
Fe1 Fe 0.000 0.013 0.963
Fe2 Fe 0.000 0.487 0.537

[6]
# Pm3Pr8Sm | the Alexandria database | GGA-PBE | relaxed
# **DOS(E_F)**: 19.4 states/eV/cell
# **Magnetic moment**: 0.00 Bohr magnetons per cell
# **ΔE_f**: 0.01 eV per atom
data_Pm3Pr8Sm
_cell_length_a 6.409
_cell_length_b 8.275
_cell_length_c 13.290
_cell_angle_alpha 79.49
_cell_angle_beta 108.69
_cell_angle_gamma 49.57
_symmetry_space_group_name_H-M 'P 1'
_symmetry_Int_Tables_number 1
loop_
_symmetry_equiv_pos_as_xyz
'x,y,z'
loop_
_atom_site_label
_atom_site_type_symbol
_atom_site_fract_x
_atom_site_fract_y
_atom_site_fract_z
Pm1 Pm 0.375 0.248 0.875
Pm2 Pm 0.875 0.247 0.375
Pm3 Pm 0.625 0.748 0.125
Pr1 Pr 0.791 0.414 0.957
Pr2 Pr 0.542 0.913 0.708
Pr3 Pr 0.958 0.081 0.792
Pr4 Pr 0.292 0.414 0.458
Pr5 Pr 0.708 0.581 0.542
Pr6 Pr 0.042 0.914 0.208
Pr7 Pr 0.208 0.581 0.042
Pr8 Pr 0.458 0.081 0.292
Sm1 Sm 0.125 0.748 0.625

[7]
# Er3RhI3 | the Alexandria database | GGA-PBE | relaxed
# **DOS(E_F)**: 4.8 states/eV/cell
# **Magnetic moment**: 0.00 Bohr magnetons per cell
# **Formation energy (no corrections)**: -1.10 eV/atom
data_Er3RhI3
_cell_length_a 4.172
_cell_length_b 8.859
_cell_length_c 12.287
_cell_angle_alpha 93.66
_cell_angle_beta 90.00
_cell_angle_gamma 90.00
_symmetry_space_group_name_H-M 'P 1'
_symmetry_Int_Tables_number 1
loop_
_symmetry_equiv_pos_as_xyz
'x,y,z'
loop_
_atom_site_label
_atom_site_type_symbol
_atom_site_fract_x
_atom_site_fract_y
_atom_site_fract_z
Er1 Er 0.250 0.253 0.601
Er2 Er 0.750 0.747 0.399
Er3 Er 0.250 0.861 0.629
Er4 Er 0.750 0.139 0.371
Er5 Er 0.250 0.903 0.185
Er6 Er 0.750 0.097 0.815
Rh1 Rh 0.250 0.949 0.408
Rh2 Rh 0.750 0.051 0.592
I1 I 0.250 0.426 0.366
I2 I 0.750 0.574 0.634
I3 I 0.250 0.857 0.894
I4 I 0.750 0.143 0.106
I5 I 0.250 0.353 0.863
I6 I 0.750 0.647 0.137

[8]
# Cs3Fe2Br8 | the Alexandria database | GGA-PBE | relaxed
# **DOS(E_F)**: 9.1 states/eV/cell
# **Magnetic moment**: 9.00 Bohr magnetons per cell
# **Formation energy (no corrections)**: -1.15 eV/atom
data_Cs3Fe2Br8
_cell_length_a 7.776
_cell_length_b 7.776
_cell_length_c 11.041
_cell_angle_alpha 69.38
_cell_angle_beta 69.38
_cell_angle_gamma 60.00
_symmetry_space_group_name_H-M 'P 1'
_symmetry_Int_Tables_number 1
loop_
_symmetry_equiv_pos_as_xyz
'x,y,z'
loop_
_atom_site_label
_atom_site_type_symbol
_atom_site_fract_x
_atom_site_fract_y
_atom_site_fract_z
Cs1 Cs 0.000 0.000 0.000
Cs2 Cs 0.210 0.210 0.371
Cs3 Cs 0.790 0.790 0.629
Fe1 Fe 0.409 0.409 0.773
Fe2 Fe 0.591 0.591 0.227
Br1 Br 0.330 0.330 0.009
Br2 Br 0.670 0.670 0.991
Br3 Br 0.269 0.771 0.691
Br4 Br 0.771 0.269 0.691
Br5 Br 0.269 0.269 0.691
Br6 Br 0.229 0.731 0.309
Br7 Br 0.731 0.229 0.309
Br8 Br 0.731 0.731 0.309